No. 1
Computed, not measured: Tm2AsN after structural relaxation at the GGA-PBE level of DFT.

Values from the calculation:
formation energy (no corrections) = -1.451 eV/atom
crystal system = trigonal

Unit cell a=3.657 b=3.657 c=6.655 alpha=74.05 beta=74.05 gamma=60.00
Atoms (fractional coordinates):
As: 0.000 0.000 0.000
Tm: 0.764 0.764 0.709
Tm: 0.236 0.236 0.291
N: 0.500 0.500 0.500

No. 2
Computed, not measured: Rb2YScO4 after structural relaxation at the GGA-PBE level of DFT.

Values from the calculation:
formation energy (no corrections) = -2.516 eV/atom
crystal system = orthorhombic

Unit cell a=7.131 b=7.131 c=7.250 alpha=120.55 beta=120.55 gamma=89.87
Atoms (fractional coordinates):
Rb: 0.500 0.000 0.000
Rb: 0.500 0.000 0.500
Rb: 0.000 0.000 0.500
Rb: 0.500 0.500 0.000
Y: 0.000 0.500 0.000
Y: 0.000 0.500 0.500
Sc: 0.500 0.500 0.500
Sc: 0.000 0.000 0.000
O: 0.179 0.739 0.959
O: 0.761 0.321 0.541
O: 0.239 0.679 0.459
O: 0.821 0.261 0.041
O: 0.769 0.731 0.946
O: 0.769 0.731 0.554
O: 0.231 0.269 0.446
O: 0.231 0.269 0.054

No. 3
Computed, not measured: AgGeRu2 after structural relaxation at the GGA-PBE level of DFT.

Values from the calculation:
energy relative to the elements = 0.644 eV per atom
crystal system = tetragonal

Unit cell a=3.901 b=3.901 c=9.730 alpha=78.44 beta=78.44 gamma=90.00
Atoms (fractional coordinates):
Ru: 0.548 0.125 0.250
Ru: 0.202 0.625 0.250
Ru: 0.375 0.452 0.750
Ru: 0.875 0.798 0.750
Ge: 0.500 0.500 0.000
Ge: 0.250 0.750 0.500
Ag: 0.000 0.000 0.000
Ag: 0.750 0.250 0.500

No. 4
Computed, not measured: Pm4Zn5Ag after structural relaxation at the GGA-PBE level of DFT.

Values from the calculation:
energy relative to the elements = -0.248 eV per atom
crystal system = tetragonal

Unit cell a=3.591 b=3.591 c=17.733 alpha=90.00 beta=90.00 gamma=90.00
Atoms (fractional coordinates):
Pm: 0.000 0.000 0.187
Pm: 0.000 0.000 0.394
Pm: 0.000 0.000 0.606
Pm: 0.000 0.000 0.813
Zn: 0.500 0.500 0.078
Zn: 0.500 0.500 0.291
Zn: 0.500 0.500 0.500
Zn: 0.500 0.500 0.709
Zn: 0.500 0.500 0.922
Ag: 0.000 0.000 0.000

No. 5
Computed, not measured: GdHoAs after structural relaxation at the GGA-PBE level of DFT.

Values from the calculation:
energy relative to the elements = -0.764 eV per atom
energy above the lowest structure with this stoichiometry = 0.110 eV per atom
crystal system = tetragonal

Unit cell a=3.708 b=3.708 c=6.251 alpha=107.25 beta=107.25 gamma=90.00
Atoms (fractional coordinates):
As: 0.623 0.623 0.245
Gd: 0.972 0.972 0.944
Ho: 0.255 0.255 0.511

No. 6
Computed, not measured: NaSeS3 after structural relaxation at the GGA-PBE level of DFT.

Values from the calculation:
formation energy (no corrections) = 1.182 eV/atom
energy above the lowest structure with this stoichiometry = 1.395 eV per atom
crystal system = cubic

Unit cell a=4.945 b=4.945 c=4.945 alpha=90.00 beta=90.00 gamma=90.00
Atoms (fractional coordinates):
Na: 0.000 0.000 0.000
Se: 0.500 0.500 0.500
S: 0.000 0.500 0.000
S: 0.000 0.000 0.500
S: 0.500 0.000 0.000